Entry 1:
# Hg2P3Br, relaxed, DFT PBE
data_Hg2P3Br
_space_group_name_H-M_alt 'P b c n'
_space_group_IT_number 60
_cell_length_a 8.1660
_cell_length_b 9.1185
_cell_length_c 7.9397
_cell_angle_alpha 90.00
_cell_angle_beta 90.00
_cell_angle_gamma 90.00
loop_
_space_group_symop_operation_xyz
'x,y,z'
'-x,-y,-z'
'-x+1/2,-y+1/2,z+1/2'
'x+1/2,y+1/2,-z+1/2'
'x+1/2,-y+1/2,-z'
'-x+1/2,y+1/2,z'
'-x,y,-z+1/2'
'x,-y,z+1/2'
loop_
_atom_site_label
_atom_site_type_symbol
_atom_site_fract_x
_atom_site_fract_y
_atom_site_fract_z
Hg1 Hg 0.2169 0.1720 0.1068
P1 P 0.0000 0.3214 0.2500
P2 P 0.1120 0.4845 0.4223
Br1 Br 0.0000 0.1134 0.7500
# Total energy   -3.22 eV/atom

=====

Entry 2:
# Hg3PBr6, relaxed, DFT PBE
data_Hg3PBr6
_space_group_name_H-M_alt 'P -3 1 m'
_space_group_IT_number 162
_space_group_name_Hall '-P 3 2'
_cell_length_a 7.5576
_cell_length_b 7.5576
_cell_length_c 6.9294
_cell_angle_alpha 90.00
_cell_angle_beta 90.00
_cell_angle_gamma 120.00
loop_
_atom_site_label
_atom_site_type_symbol
_atom_site_fract_x
_atom_site_fract_y
_atom_site_fract_z
Hg1 Hg 0.0000 0.0000 0.0000
Hg2 Hg 0.3333 0.6667 0.0000
P1 P 0.0000 0.0000 0.5000
Br1 Br 0.0000 0.2793 0.2799
# Total energy   -1.79 eV/atom

=====

Entry 3:
# SnHg7P4Br6, relaxed, DFT PBE
data_SnHg7P4Br6
_space_group_name_H-M_alt 'P 21 3'
_space_group_IT_number 198
_space_group_name_Hall 'P 2ac 2ab 3'
_cell_length_a 12.7986
_cell_length_b 12.7986
_cell_length_c 12.7986
_cell_angle_alpha 90.00
_cell_angle_beta 90.00
_cell_angle_gamma 90.00
loop_
_atom_site_label
_atom_site_type_symbol
_atom_site_fract_x
_atom_site_fract_y
_atom_site_fract_z
Sn1 Sn 0.2408 0.2592 0.7408
Hg1 Hg 0.0011 0.7506 0.9319
Hg2 Hg 0.0393 0.0393 0.0393
Hg3 Hg 0.0776 0.3225 0.1016
P1 P 0.0311 0.9689 0.4689
P2 P 0.0684 0.5684 0.9316
P3 P 0.0700 0.4300 0.5700
P4 P 0.1487 0.1487 0.1487
Br1 Br 0.0164 0.7642 0.6853
Br2 Br 0.0564 0.7978 0.1911
# Total energy   -2.42 eV/atom

=====

Entry 4:
# Hg3Pb2Br2, relaxed, DFT PBE
data_Hg3Pb2Br2
_space_group_name_H-M_alt 'I 21 3'
_space_group_IT_number 199
_space_group_name_Hall 'I 2b 2c 3'
_cell_length_a 9.6723
_cell_length_b 9.6723
_cell_length_c 9.6723
_cell_angle_alpha 90.00
_cell_angle_beta 90.00
_cell_angle_gamma 90.00
loop_
_atom_site_label
_atom_site_type_symbol
_atom_site_fract_x
_atom_site_fract_y
_atom_site_fract_z
Hg1 Hg 0.0000 0.2500 0.2377
Pb1 Pb 0.1839 0.3161 0.6839
Br1 Br 0.0128 0.4872 0.5128
# Total energy   -1.78 eV/atom